A relaxed SrReSbP2 crystal. Source: Alexandria via LeMat-Bulk, functional GGA-PBE.

Summary:
The value obtained for the electronic total energy is -27.769 eV for the cell shown. The crystal system is tetragonal. Its uncorrected formation energy is 0.2607 eV/atom. The magnetization is 0.0 μB per formula unit.

Lattice parameters (Å, degrees): 4.612 4.612 6.172 90.00 90.00 90.00
Atoms (fractional coordinates):
Sr 0.000 0.000 0.000
Re 0.000 0.000 0.500
Sb 0.500 0.500 0.000
P 0.000 0.500 0.500
P 0.500 0.000 0.500